# CoNi2Ir (PBE, optimized geometry)
# - total magnetization (μB/atom) = 0.79
# - electronic total energy (eV per cell) = -81.673
# - DFT formation energy (eV/atom) = 0.08
# - ΔE to the lowest computed polymorph (meV per atom) = 51.2
# - Fermi-level density of states (states/eV/cell) = 19.68
data_CoNi2Ir
_space_group_name_H-M_alt 'R 3 m'
_space_group_IT_number 160
_space_group_name_Hall 'R 3 -2"'
_cell_length_a 2.6108
_cell_length_b 2.6108
_cell_length_c 24.7646
_cell_angle_alpha 90.00
_cell_angle_beta 90.00
_cell_angle_gamma 120.00
loop_
_atom_site_label
_atom_site_fract_x
_atom_site_fract_y
_atom_site_fract_z
Co1 0.0000 0.0000 0.0000
Ni1 0.0000 0.0000 0.4935
Ni2 0.0000 0.0000 0.7460
Ir1 0.0000 0.0000 0.2473